First-principles (PBE) data for LiMg2Tl2 after structural relaxation, as listed in Alexandria.

## Properties
Distance to the lowest polymorph of the same formula = 0.0 meV/atom
SG = Cmc2_1, No. 36
Formation enthalpy at 0 K = -99.7 meV per atom
Calculated volume = 23.357 A^3/atom
Theoretical density = 6.6 g cm⁻³
Uncorrected energy = -2.07 eV per atom

```
LiMg2Tl2
1.0
2.5378 -8.1500 0.0000
2.5378 8.1500 0.0000
0.0000 0.0000 5.6463
Li Mg Tl
2 4 4
Direct
0.1427 0.8573 0.5000
0.8573 0.1427 0.0000
0.3447 0.6553 0.6405
0.4569 0.5431 0.1574
0.5431 0.4569 0.6574
0.6553 0.3447 0.1405
0.0569 0.9431 0.9818
0.2658 0.7342 0.1315
0.7342 0.2658 0.6315
0.9431 0.0569 0.4818
```

---

First-principles (PBE) data for Ac4LaPm4 after structural relaxation, as listed in Alexandria.

## Properties
SG = I4/mmm, No. 139
Formation enthalpy at 0 K = 37.3 meV per atom
Calculated volume = 39.384 A^3/atom
Theoretical density = 7.6 g cm⁻³
Uncorrected energy = -4.45 eV per atom

```
Ac4LaPm4
1.0
-5.7370 5.7370 2.6924
5.7370 -5.7370 2.6924
5.7370 5.7370 -2.6924
Ac La Pm
4 1 4
Direct
0.1669 0.1669 0.3338
0.1669 0.8331 0.0000
0.8331 0.1669 0.0000
0.8331 0.8331 0.6662
0.5000 0.5000 0.0000
0.1598 0.5000 0.6598
0.5000 0.1598 0.6598
0.5000 0.8402 0.3402
0.8402 0.5000 0.3402
```

---

First-principles (PBE) data for Sm2IrO6 after structural relaxation, as listed in Alexandria.

## Properties
Distance to the lowest polymorph of the same formula = 0.0 meV/atom
SG = P2_1/c, No. 14
Calculated volume = 13.910 A^3/atom
Theoretical density = 7.8 g cm⁻³
Uncorrected energy = -7.54 eV per atom
ΔE_f (raw) = -1909 kJ/mol of formula units

```
Sm2IrO6
1.0
5.4244 0.0000 0.0000
0.0000 6.0982 0.0000
-4.7579 0.0000 7.5693
Sm Ir O
4 2 12
Direct
0.2134 0.0935 0.2489
0.2134 0.4065 0.7489
0.7866 0.5935 0.2511
0.7866 0.9065 0.7511
0.5000 0.0000 0.0000
0.5000 0.5000 0.5000
0.1466 0.1570 0.9477
0.1466 0.3430 0.4477
0.2876 0.7218 0.9282
0.2876 0.7782 0.4282
0.3995 0.0545 0.7599
0.3995 0.4455 0.2599
0.6005 0.5545 0.7401
0.6005 0.9455 0.2401
0.7124 0.2218 0.5718
0.7124 0.2782 0.0718
0.8534 0.6570 0.5523
0.8534 0.8430 0.0523
```

---

First-principles (PBE) data for NiH after structural relaxation, as listed in Alexandria.

## Properties
SG = P4_2/mnm, No. 136
Calculated volume = 7.170 A^3/atom
Theoretical density = 6.9 g cm⁻³
Uncorrected energy = -4.56 eV per atom

```
NiH
1.0
4.5631 0.0000 0.0000
0.0000 4.5631 0.0000
0.0000 0.0000 2.7546
Ni H
4 4
Direct
0.2039 0.2039 0.0000
0.2961 0.7039 0.5000
0.7039 0.2961 0.5000
0.7961 0.7961 0.0000
0.1610 0.8390 0.0000
0.3390 0.3390 0.5000
0.6610 0.6610 0.5000
0.8390 0.1610 0.0000
```